(1)
{"formula": "LiIn2Pt2", "functional": "PBE", "state": "relaxed", "lattice_angstrom": [[-2.659, 2.087, 3.884], [-0.912, -1.369, 4.879], [1.921, 2.633, 5.771]], "species": ["Li", "In", "In", "Pt", "Pt"], "frac_coords": [[0.000, 0.500, 0.000], [0.207, 0.707, 0.369], [0.793, 0.293, 0.631], [0.579, 0.079, 0.208], [0.421, 0.921, 0.792]], "volume_a3_per_cell": 86.6, "relative_energy_mev_per_atom": 15, "e_form_ev_per_atom": -0.500, "final_energy_ev_per_cell": -22.0, "magmom_total_mub_per_cell": 0.0, "sg": "C2/m (12)"}

(2)
{"formula": "LiIn8Pt6", "functional": "PBE", "state": "relaxed", "lattice_angstrom": [[-0.738, -0.546, 7.161], [-2.409, -6.459, 2.146], [5.094, -4.070, 3.101]], "species": ["Li", "In", "In", "In", "In", "In", "In", "In", "In", "Pt", "Pt", "Pt", "Pt", "Pt", "Pt"], "frac_coords": [[0.000, 0.000, 0.000], [0.202, 0.573, 0.879], [0.121, 0.798, 0.427], [0.427, 0.121, 0.798], [0.667, 0.667, 0.667], [0.333, 0.333, 0.333], [0.573, 0.879, 0.202], [0.879, 0.202, 0.573], [0.798, 0.427, 0.121], [0.053, 0.393, 0.717], [0.283, 0.947, 0.607], [0.607, 0.283, 0.947], [0.393, 0.717, 0.053], [0.717, 0.053, 0.393], [0.947, 0.607, 0.283]], "volume_a3_per_cell": 304.1, "e_form_ev_per_atom": -0.519, "final_energy_ev_per_cell": -67.8, "magmom_total_mub_per_cell": 0.0, "sg": "R-3 (148)"}